CsCaCd17 | PBE-GGA | optimized geometry

Calculated values
ΔE_f (meV per atom): -70
Space-group type: R3m, No. 160
E (eV/atom): -1.04
ρ (g/cm³): 7.25

abc: 7.8740 7.8740 7.8740
angles: 82.68 82.68 82.68
With the nearest neighbours (Å) after each atom.
Positions (direct):
Cd 0.1746 0.6334 0.6334  8 Cd 3.01-3.30
Cd 0.2928 0.7033 0.0035  8 Cd 2.99-3.30
Cd 0.7033 0.2928 0.0035  8 Cd 2.99-3.30
Cd 0.6334 0.6334 0.1746  8 Cd 3.01-3.30
Cd 0.3482 0.8649 0.3482  9 Cd 3.01-3.24
Cd 0.9895 0.9895 0.5119  10 Cd 2.99-3.25
Cd 0.3482 0.3482 0.8649  9 Cd 3.01-3.24
Cd 0.7033 0.0035 0.2928  8 Cd 2.99-3.30
Cd 0.6334 0.1746 0.6334  8 Cd 3.01-3.30
Cd 0.2928 0.0035 0.7033  8 Cd 2.99-3.30
Cd 0.5119 0.9895 0.9895  10 Cd 2.99-3.25
Cd 0.0035 0.7033 0.2928  8 Cd 2.99-3.30
Cd 0.8649 0.3482 0.3482  9 Cd 3.01-3.24
Cd 0.0035 0.2928 0.7033  8 Cd 2.99-3.30
Cd 0.9077 0.9077 0.9077  10 Cd 3.05-3.37
Cd 0.9895 0.5119 0.9895  10 Cd 2.99-3.25
Cd 0.1071 0.1071 0.1071  7 Cd 3.05-3.25
Ca 0.3330 0.3330 0.3330  13 Cd 3.45-3.66
Cs 0.6596 0.6596 0.6596  19 Cd 3.71-4.01

CsCa2Cd2 | PBE-GGA | optimized geometry

Calculated values
ΔE_f (meV per atom): 41
Space-group type: I4/mmm, No. 139
E (eV/atom): -1.30
Distance to the lowest polymorph of the same formula (meV/atom): 133
ρ (g/cm³): 3.24

abc: 6.0164 6.0164 7.5230
angles: 66.43 66.43 90.00
With the nearest neighbours (Å) after each atom.
Positions (direct):
Cd 0.7500 0.2500 0.5000  4 Ca 3.21
Cd 0.2500 0.7500 0.5000  4 Ca 3.21
Ca 0.3409 0.3409 0.3182  4 Cd 3.21
Ca 0.6591 0.6591 0.6818  4 Cd 3.21
Cs 0.0000 0.0000 0.0000  10 Ca 4.23-4.69, 8 Cd 4.32

CsCa2CdCu | PBE-GGA | optimized geometry

Calculated values
ΔE_f (meV per atom): 482
Space-group type: P4/mmm, No. 123
E (eV/atom): -1.49
ρ (g/cm³): 2.61

abc: 6.0164 6.8421 6.0164
angles: 90.00 90.00 90.00
With the nearest neighbours (Å) after each atom.
Positions (direct):
Cs 0.0000 0.5000 0.0000  2 Cd 3.42
Cd 0.0000 0.0000 0.0000  4 Ca 3.01
Ca 0.0000 0.0000 0.5000  2 Cd 3.01
Ca 0.5000 0.0000 0.0000  2 Cd 3.01
Cu 0.5000 0.5000 0.5000  4 Cs 4.25, 8 Ca 4.56

CsCa2CdF8 | PBE-GGA | optimized geometry

Calculated values
Space-group type: P2/m, No. 10
E (eV/atom): -4.63
ρ (g/cm³): 4.14

abc: 3.8974 5.7607 8.5333
angles: 90.00 90.00 88.34
With the nearest neighbours (Å) after each atom.
Positions (direct):
Cd 0.0000 0.0000 0.0000  8 F 2.39-2.45
F 0.9977 0.2624 0.2176  2 Ca 2.34-2.42, 1 Cd 2.39
F 0.5026 0.7506 0.0000  2 Ca 2.37, 2 Cd 2.40-2.45
F 0.0023 0.7376 0.7824  2 Ca 2.34-2.42, 1 Cd 2.39
F 0.6015 0.6646 0.5000  1 F 2.08
F 0.4974 0.2494 0.0000  2 Ca 2.37, 2 Cd 2.40-2.45
F 0.0022 0.7376 0.2176  2 Ca 2.34-2.42, 1 Cd 2.39
F 0.9978 0.2624 0.7824  2 Ca 2.34-2.42, 1 Cd 2.39
F 0.3985 0.3354 0.5000  1 F 2.08
Cs 0.0000 0.0000 0.5000  2 F 2.51
Ca 0.5000 0.5000 0.2197  8 F 2.34-2.61
Ca 0.5000 0.5000 0.7803  8 F 2.34-2.61

Cs3CaCd2F9 | PBE-GGA | optimized geometry

Calculated values
Space-group type: P-3m1, No. 164
E (eV/atom): -4.35
ρ (g/cm³): 4.86

abc: 6.4526 6.4526 7.9076
angles: 90.00 90.00 120.00
With the nearest neighbours (Å) after each atom.
Positions (direct):
F 0.1666 0.3332 0.3334  1 Cd 2.28, 1 Ca 2.28
F 0.8334 0.6668 0.6666  1 Cd 2.28, 1 Ca 2.28
F 0.1666 0.8334 0.3334  1 Cd 2.28, 1 Ca 2.28
F 0.0000 0.5000 0.0000  2 Cd 2.29
F 0.6668 0.8334 0.3334  1 Cd 2.28, 1 Ca 2.28
F 0.5000 0.5000 0.0000  2 Cd 2.29
F 0.8334 0.1666 0.6666  1 Cd 2.28, 1 Ca 2.28
F 0.3332 0.1666 0.6666  1 Cd 2.28, 1 Ca 2.28
F 0.5000 0.0000 0.0000  2 Cd 2.29
Cs 0.3333 0.6667 0.6703  12 F 3.20-3.25
Cs 0.6667 0.3333 0.3297  12 F 3.20-3.25
Cs 0.0000 0.0000 0.0000  12 F 3.23
Cd 0.3333 0.6667 0.1680  6 F 2.28-2.29
Cd 0.6667 0.3333 0.8320  6 F 2.28-2.29
Ca 0.0000 0.0000 0.5000  6 F 2.28

Cs3Ca2CdF9 | PBE-GGA | optimized geometry

Calculated values
Space-group type: P-3m1, No. 164
E (eV/atom): -4.76
ρ (g/cm³): 4.44

abc: 6.4536 6.4536 7.9081
angles: 90.00 90.00 120.00
With the nearest neighbours (Å) after each atom.
Positions (direct):
Ca 0.6667 0.3333 0.8352  6 F 2.27-2.30
Ca 0.3333 0.6667 0.1648  6 F 2.27-2.30
F 0.0000 0.5000 0.0000  2 Ca 2.27
F 0.8338 0.1662 0.6660  1 Cd 2.28, 1 Ca 2.30
F 0.3324 0.1662 0.6660  1 Cd 2.28, 1 Ca 2.30
F 0.8338 0.6676 0.6660  1 Cd 2.28, 1 Ca 2.30
F 0.1662 0.3324 0.3340  1 Cd 2.28, 1 Ca 2.30
F 0.5000 0.0000 0.0000  2 Ca 2.27
F 0.6676 0.8338 0.3340  1 Cd 2.28, 1 Ca 2.30
F 0.1662 0.8338 0.3340  1 Cd 2.28, 1 Ca 2.30
F 0.5000 0.5000 0.0000  2 Ca 2.27
Cd 0.0000 0.0000 0.5000  6 F 2.28
Cs 0.6667 0.3333 0.3357  12 F 3.21-3.24
Cs 0.0000 0.0000 0.0000  12 F 3.23
Cs 0.3333 0.6667 0.6643  12 F 3.21-3.24